1.
## Pm6Sm12Pb (PBE)

Data for crystalline Pm6Sm12Pb at its relaxed geometry.

Calculated values
Total magnetic moment, μB/f.u.: 0.00
ΔH_f (0 K), eV per atom: 0.050

Unit cell a=12.0807 b=12.0807 c=15.3316 alpha=90.00 beta=90.00 gamma=120.00
Space group R-3 (No. 148, hexagonal axes)
Unique sites:
Pm 0.0148 0.5887 0.1828 x18
Sm 0.0026 0.1747 0.6873 x18
Sm 0.0435 0.1956 0.9165 x18
Pb 0.0000 0.0000 0.5000 x3

***

2.
## Th4GeRu2 (PBE)

Data for crystalline Th4GeRu2 at its relaxed geometry.

Calculated values
Total magnetic moment, μB/f.u.: 0.00
ΔH_f (0 K), eV per atom: -0.475

Unit cell a=12.917 b=13.071 c=8.518 alpha=90.00 beta=90.00 gamma=90.00
Space group Fdd2 (No. 43)
Unique sites:
Th 0.061 0.125 0.000 x16
Th 0.124 0.436 0.851 x16
Ge 0.000 0.000 0.676 x8
Ru 0.062 0.190 0.301 x16

***

3.
## CaNiW2 (PBE)

Data for crystalline CaNiW2 at its relaxed geometry.

Calculated values
Total magnetic moment, μB/f.u.: 0.00
ΔH_f (0 K), eV per atom: 0.729

Unit cell a=3.794 b=3.794 c=9.640 alpha=90.00 beta=90.00 gamma=90.00
Space group I4/mmm (No. 139)
Unique sites:
Ca 0.000 0.000 0.000 x2
Ni 0.000 0.000 0.500 x2
W 0.000 0.500 0.250 x4

***

4.
## SrPr2AgO5 (PBE)

Data for crystalline SrPr2AgO5 at its relaxed geometry.

Calculated values
Total magnetic moment, μB/f.u.: 0.96
Raw formation energy, eV per atom: -2.28

Unit cell a=6.816 b=6.816 c=12.352 alpha=90.00 beta=90.00 gamma=90.00
Space group I4/mcm (No. 140)
Unique sites:
Sr 0.000 0.000 0.250 x4
Pr 0.169 0.331 0.000 x8
Ag 0.000 0.500 0.250 x4
O 0.000 0.000 0.000 x4
O 0.152 0.348 0.378 x16

***

5.
## Sr2Cd3BiAu12 (PBE)

Data for crystalline Sr2Cd3BiAu12 at its relaxed geometry.

Calculated values
Total magnetic moment, μB/f.u.: 0.00
ΔH_f (0 K), eV per atom: -0.186

Unit cell a=6.5337 b=6.5337 c=35.5433 alpha=90.00 beta=90.00 gamma=120.00
Space group R-3m (No. 166, hexagonal axes)
Unique sites:
Sr 0.0000 0.0000 0.1390 x6
Cd 0.0000 0.5000 0.0000 x9
Bi 0.0000 0.0000 0.5000 x3
Au 0.0374 0.5187 0.8883 x18
Au 0.0496 0.5248 0.6127 x18

***

6.
## Tl3CrCl (PBE)

Data for crystalline Tl3CrCl at its relaxed geometry.

Calculated values
Total magnetic moment, μB/f.u.: 3.98
Raw formation energy, eV per atom: 0.14

Unit cell a=5.413 b=5.413 c=5.413 alpha=90.00 beta=90.00 gamma=90.00
Space group Pm-3m (No. 221)
Unique sites:
Tl 0.000 0.000 0.500 x3
Cr 0.000 0.000 0.000 x1
Cl 0.500 0.500 0.500 x1

***

7.
## MgRuAu (PBE)

Data for crystalline MgRuAu at its relaxed geometry.

Calculated values
Total magnetic moment, μB/f.u.: 1.73
ΔH_f (0 K), eV per atom: 0.398

Unit cell a=6.210 b=6.210 c=6.210 alpha=90.00 beta=90.00 gamma=90.00
Space group F-43m (No. 216)
Unique sites:
Mg 0.000 0.000 0.000 x4
Ru 0.000 0.000 0.500 x4
Au 0.250 0.250 0.250 x4

***

8.
## InAs2Os (PBE)

Data for crystalline InAs2Os at its relaxed geometry.

Calculated values
Total magnetic moment, μB/f.u.: 0.00
ΔH_f (0 K), eV per atom: 0.367

Unit cell a=3.351 b=4.179 c=5.963 alpha=90.00 beta=106.06 gamma=90.00
Space group Pm (No. 6)
Unique sites:
In 0.000 0.000 0.000 x1
As 0.266 0.500 0.539 x1
As 0.739 0.000 0.486 x1
Os 0.605 0.500 0.213 x1